Below is a relaxed TlTe4Pt2 crystal, with properties calculated at the PBE-GGA level.

Summary:
Total DFT energy (no corrections): -4.0473 eV per atom

abc: 4.603 4.603 11.579
angles: 90.00 90.00 120.00
Positions (direct):
1 Tl 0.000 0.000 0.000
2 Te 0.333 0.667 0.397
3 Te 0.333 0.667 0.855
4 Te 0.667 0.333 0.145
5 Te 0.667 0.333 0.603
6 Pt 0.333 0.667 0.628
7 Pt 0.667 0.333 0.372

***

Below is a relaxed ZrTlTe3Pt crystal, with properties calculated at the PBE-GGA level.

Summary:
Total DFT energy (no corrections): -5.0046 eV per atom

abc: 8.811 3.981 10.798
angles: 90.00 112.31 90.00
Positions (direct):
1 Zr 0.216 0.250 0.179
2 Zr 0.784 0.750 0.821
3 Tl 0.217 0.750 0.711
4 Tl 0.783 0.250 0.289
5 Te 0.054 0.250 0.877
6 Te 0.253 0.250 0.455
7 Te 0.440 0.750 0.146
8 Te 0.560 0.250 0.854
9 Te 0.747 0.750 0.545
10 Te 0.946 0.750 0.123
11 Pt 0.410 0.750 0.384
12 Pt 0.590 0.250 0.616

***

Below is a relaxed Tm7Te2Pt2 crystal, with properties calculated at the PBE-GGA level.

Summary:
Total DFT energy (no corrections): -5.5459 eV per atom

abc: 9.285 9.285 9.285
angles: 155.64 67.23 118.43
Positions (direct):
1 Tm 0.000 0.000 0.000
2 Tm 0.287 0.418 0.869
3 Tm 0.309 0.626 0.683
4 Tm 0.548 0.418 0.131
5 Tm 0.624 0.268 0.356
6 Tm 0.912 0.268 0.644
7 Tm 0.943 0.626 0.317
8 Te 0.265 0.765 0.500
9 Te 0.662 0.662 0.000
10 Pt 0.166 0.928 0.237
11 Pt 0.691 0.928 0.763

***

Below is a relaxed Tm5Te3Pt crystal, with properties calculated at the PBE-GGA level.

Summary:
Energy above the most stable polymorph in this dataset: 178 meV/atom

abc: 8.288 8.288 4.051
angles: 90.00 90.00 120.00
Positions (direct):
1 Tm 0.000 0.668 0.000
2 Tm 0.332 0.332 0.000
3 Tm 0.333 0.667 0.500
4 Tm 0.667 0.333 0.500
5 Tm 0.668 0.000 0.000
6 Te 0.000 0.281 0.500
7 Te 0.281 0.000 0.500
8 Te 0.719 0.719 0.500
9 Pt 0.000 0.000 0.000

***

Below is a relaxed Tm5Te3Pt crystal, with properties calculated at the PBE-GGA level.

Summary:
Energy above the most stable polymorph in this dataset: 0 meV/atom

abc: 8.636 8.636 3.818
angles: 90.00 90.00 120.00
Positions (direct):
1 Tm 0.000 0.233 0.000
2 Tm 0.233 0.000 0.000
3 Tm 0.333 0.667 0.000
4 Tm 0.667 0.333 0.000
5 Tm 0.767 0.767 0.000
6 Te 0.000 0.551 0.500
7 Te 0.449 0.449 0.500
8 Te 0.551 0.000 0.500
9 Pt 0.000 0.000 0.500

***

Below is a relaxed Tm2Te6Pt crystal, with properties calculated at the PBE-GGA level.

Summary:
Total DFT energy (no corrections): -4.4949 eV per atom

abc: 8.325 8.325 3.996
angles: 90.00 90.00 120.00
Positions (direct):
1 Tm 0.333 0.667 0.000
2 Tm 0.667 0.333 0.000
3 Te 0.000 0.231 0.000
4 Te 0.000 0.547 0.500
5 Te 0.231 0.000 0.000
6 Te 0.453 0.453 0.500
7 Te 0.547 0.000 0.500
8 Te 0.769 0.769 0.000
9 Pt 0.000 0.000 0.500

***

Below is a relaxed UTePt crystal, with properties calculated at the PBE-GGA level.

Summary:
Energy above the most stable polymorph in this dataset: 145 meV/atom

abc: 6.900 6.900 6.900
angles: 90.00 90.00 90.00
Positions (direct):
1 U 0.000 0.000 0.000
2 U 0.000 0.500 0.500
3 U 0.500 0.000 0.500
4 U 0.500 0.500 0.000
5 Te 0.250 0.250 0.750
6 Te 0.250 0.750 0.250
7 Te 0.750 0.250 0.250
8 Te 0.750 0.750 0.750
9 Pt 0.250 0.250 0.250
10 Pt 0.250 0.750 0.750
11 Pt 0.750 0.250 0.750
12 Pt 0.750 0.750 0.250

***

Below is a relaxed UTePt crystal, with properties calculated at the PBE-GGA level.

Summary:
Energy above the most stable polymorph in this dataset: 0 meV/atom

abc: 6.699 6.699 6.699
angles: 90.00 90.00 90.00
Positions (direct):
1 U 0.000 0.000 0.000
2 U 0.000 0.500 0.500
3 U 0.500 0.000 0.500
4 U 0.500 0.500 0.000
5 Te 0.000 0.000 0.500
6 Te 0.000 0.500 0.000
7 Te 0.500 0.000 0.000
8 Te 0.500 0.500 0.500
9 Pt 0.250 0.250 0.750
10 Pt 0.250 0.750 0.250
11 Pt 0.750 0.250 0.250
12 Pt 0.750 0.750 0.750

***

Below is a relaxed TePtW crystal, with properties calculated at the PBE-GGA level.

Summary:
Energy above the most stable polymorph in this dataset: 0 meV/atom

abc: 6.307 6.307 6.307
angles: 90.00 90.00 90.00
Positions (direct):
1 Te 0.000 0.000 0.000
2 Te 0.000 0.500 0.500
3 Te 0.500 0.000 0.500
4 Te 0.500 0.500 0.000
5 Pt 0.000 0.000 0.500
6 Pt 0.000 0.500 0.000
7 Pt 0.500 0.000 0.000
8 Pt 0.500 0.500 0.500
9 W 0.250 0.250 0.750
10 W 0.250 0.750 0.250
11 W 0.750 0.250 0.250
12 W 0.750 0.750 0.750

***

Below is a relaxed Y2Te2Pt crystal, with properties calculated at the PBE-GGA level.

Summary:
Total DFT energy (no corrections): -5.7187 eV per atom

abc: 5.607 5.607 8.523
angles: 90.00 90.00 90.00
Positions (direct):
1 Y 0.000 0.500 0.250
2 Y 0.000 0.500 0.750
3 Y 0.500 0.000 0.250
4 Y 0.500 0.000 0.750
5 Te 0.000 0.000 0.186
6 Te 0.000 0.000 0.814
7 Te 0.500 0.500 0.314
8 Te 0.500 0.500 0.686
9 Pt 0.000 0.000 0.500
10 Pt 0.500 0.500 0.000

***

Below is a relaxed YTe2Pt2 crystal, with properties calculated at the PBE-GGA level.

Summary:
Total DFT energy (no corrections): -5.3889 eV per atom

abc: 4.449 4.449 11.953
angles: 90.00 90.00 90.00
Positions (direct):
1 Y 0.000 0.000 0.000
2 Y 0.500 0.500 0.500
3 Te 0.000 0.500 0.250
4 Te 0.000 0.500 0.750
5 Te 0.500 0.000 0.250
6 Te 0.500 0.000 0.750
7 Pt 0.000 0.000 0.391
8 Pt 0.000 0.000 0.609
9 Pt 0.500 0.500 0.109
10 Pt 0.500 0.500 0.891

***

Below is a relaxed Y2Te6Pt crystal, with properties calculated at the PBE-GGA level.

Summary:
Total DFT energy (no corrections): -4.9878 eV per atom

abc: 8.393 8.393 4.014
angles: 90.00 90.00 120.00
Positions (direct):
1 Y 0.333 0.667 0.000
2 Y 0.667 0.333 0.000
3 Te 0.000 0.228 0.000
4 Te 0.000 0.544 0.500
5 Te 0.228 0.000 0.000
6 Te 0.456 0.456 0.500
7 Te 0.544 0.000 0.500
8 Te 0.772 0.772 0.000
9 Pt 0.000 0.000 0.500